# LaHo6Er2 | the Alexandria database | PBE | relaxed
# total energy = -4.29 eV per atom
# total moment = 0.00 μB/f.u.
# D(E_F) = 12.536 states/eV per cell
# polymorph energy (0 for the lowest one) = 6.98 kcal/mol of atoms
data_LaHo6Er2
_space_group_name_H-M_alt 'P 1'
_space_group_IT_number 1
_cell_length_a 7.3056
_cell_length_b 7.3056
_cell_length_c 7.6249
_cell_angle_alpha 61.38
_cell_angle_beta 61.38
_cell_angle_gamma 60.00
loop_
_space_group_symop_operation_xyz
'x,y,z'
loop_
_atom_site_label
_atom_site_fract_x
_atom_site_fract_y
_atom_site_fract_z
_atom_site_occupancy
Ho1 0.7828 0.2610 0.6955 1
Ho2 0.0483 0.6119 0.2917 1
Er1 0.7564 0.7564 0.7308 1
La1 0.3177 0.3177 0.0469 1
Ho3 0.0481 0.0483 0.2917 1
Ho4 0.2610 0.2608 0.6955 1
Er2 0.5787 0.5787 0.2638 1
Ho5 0.2608 0.7828 0.6955 1
Ho6 0.6119 0.0481 0.2917 1

***

# La2Ho3Er2 | the Alexandria database | PBE | relaxed
# total energy = -4.54 eV per atom
# total moment = 0.00 μB/f.u.
# D(E_F) = 11.312 states/eV per cell
# polymorph energy (0 for the lowest one) = 1.24 kcal/mol of atoms
data_La2Ho3Er2
_space_group_name_H-M_alt 'P 1'
_space_group_IT_number 1
_cell_length_a 3.5115
_cell_length_b 8.5670
_cell_length_c 9.0189
_cell_angle_alpha 118.54
_cell_angle_beta 101.23
_cell_angle_gamma 90.00
loop_
_space_group_symop_operation_xyz
'x,y,z'
loop_
_atom_site_label
_atom_site_fract_x
_atom_site_fract_y
_atom_site_fract_z
_atom_site_occupancy
La1 0.5672 0.9166 0.1343 1
Er1 0.1536 0.3413 0.3072 1
Ho1 0.2115 0.7972 0.4231 1
Ho2 0.7885 0.2028 0.5769 1
Er2 0.8464 0.6587 0.6928 1
Ho3 0.0000 0.5000 0.0000 1
La2 0.4328 0.0834 0.8657 1